Record 1
Compound: LiY3Pd
Source: Alexandria via LeMat-Bulk
Functional: GGA-PBE
Structure: optimized geometry Values from VASP.

```
&SYSTEM
  ibrav = 0, nat = 5, ntyp = 3
/
ATOMIC_SPECIES
Y 88.91 Y.upf
Pd 106.42 Pd.upf
Li 6.94 Li.upf
ATOMIC_POSITIONS crystal
Y 0.0000 0.5000 0.0000
Y 0.0000 0.0000 0.5000
Y 0.5000 0.0000 0.0000
Pd 0.0000 0.0000 0.0000
Li 0.5000 0.5000 0.5000
CELL_PARAMETERS angstrom
-4.0196 -3.7043 0.4202
1.6290 -1.1894 5.0978
-3.3533 3.8626 1.9727
```

Its energy above the most stable polymorph in this dataset is 0.0000 eV/atom. The calculation puts the density of states at the Fermi level at 1.97 states/eV/atom.


Record 2
Compound: LiYPd2
Source: Alexandria via LeMat-Bulk
Functional: GGA-PBE
Structure: optimized geometry Values from VASP.

```
&SYSTEM
  ibrav = 0, nat = 4, ntyp = 3
/
ATOMIC_SPECIES
Li 6.94 Li.upf
Y 88.91 Y.upf
Pd 106.42 Pd.upf
ATOMIC_POSITIONS crystal
Li 0.0000 0.0000 0.0000
Y 0.0000 0.5000 0.5000
Pd 0.0000 0.2227 0.2227
Pd 0.0000 0.7773 0.7773
CELL_PARAMETERS angstrom
4.7347 -1.5646 -2.8306
-1.1789 4.8451 2.8306
-3.1482 -0.1549 4.7898
```

The calculation puts the density of states at the Fermi level at 0.69 states/eV/atom.


Q: Which DFT formation energy values were calculated for the entries above? A: -7.1; -4.4, in kJ/mol of atoms.
Q: Which raw total energy values were calculated for the entries above? A: -26.9; -18.9, in eV/cell.